1.
The following is a PBEsol calculation of K2Ag after structural relaxation, from Alexandria.

Formation energy: 14.2 kJ per mole of atoms
VASP energy: -15.41 eV for the cell shown

Unit cell a=5.105 b=9.055 c=9.055 alpha=120.00 beta=90.00 gamma=90.00
Element x y z (fractional)
K (0.000, 0.743, 0.743)
K (0.500, 0.413, 0.413)
K (0.500, 0.000, 0.587)
K (0.000, 0.000, 0.257)
K (0.500, 0.587, 0.000)
K (0.000, 0.257, 0.000)
Ag (0.000, 0.333, 0.667)
Ag (0.000, 0.667, 0.333)
Ag (0.500, 0.000, 0.000)

2.
The following is a PBEsol calculation of K2Ag after structural relaxation, from Alexandria.

Formation energy: 15.7 kJ per mole of atoms
VASP energy: -10.18 eV for the cell shown

Unit cell a=4.229 b=7.971 c=8.051 alpha=90.03 beta=90.00 gamma=105.38
Element x y z (fractional)
Ag (0.976, 0.953, 0.922)
Ag (0.746, 0.492, 0.422)
K (0.083, 0.166, 0.538)
K (0.639, 0.279, 0.039)
K (0.343, 0.686, 0.706)
K (0.379, 0.759, 0.206)

3.
The following is a PBEsol calculation of K2Ag after structural relaxation, from Alexandria.

Formation energy: 11.5 kJ per mole of atoms
VASP energy: -41.76 eV for the cell shown

Unit cell a=11.190 b=11.190 c=11.190 alpha=60.00 beta=60.00 gamma=60.00
Element x y z (fractional)
K (0.125, 0.125, 0.125)
K (0.625, 0.125, 0.125)
K (0.697, 0.303, 0.697)
K (0.947, 0.553, 0.553)
K (0.553, 0.947, 0.553)
K (0.553, 0.553, 0.947)
K (0.947, 0.553, 0.947)
K (0.303, 0.303, 0.697)
K (0.553, 0.947, 0.947)
K (0.125, 0.625, 0.125)
K (0.303, 0.697, 0.697)
K (0.125, 0.125, 0.625)
K (0.947, 0.947, 0.553)
K (0.303, 0.697, 0.303)
K (0.697, 0.697, 0.303)
K (0.697, 0.303, 0.303)
Ag (0.314, 0.058, 0.314)
Ag (0.192, 0.936, 0.936)
Ag (0.936, 0.192, 0.936)
Ag (0.936, 0.936, 0.936)
Ag (0.314, 0.314, 0.058)
Ag (0.936, 0.936, 0.192)
Ag (0.058, 0.314, 0.314)
Ag (0.314, 0.314, 0.314)

4.
The following is a PBEsol calculation of K2Ag after structural relaxation, from Alexandria.

Formation energy: 13.6 kJ per mole of atoms
VASP energy: -5.15 eV for the cell shown

Unit cell a=4.092 b=4.092 c=8.155 alpha=104.53 beta=104.53 gamma=90.00
Element x y z (fractional)
K (0.875, 0.875, 0.749)
K (0.125, 0.125, 0.251)
Ag (0.500, 0.500, 0.000)

5.
The following is a PBEsol calculation of KAg2 after structural relaxation, from Alexandria.

Formation energy: 5.2 kJ per mole of atoms
VASP energy: -30.38 eV for the cell shown

Unit cell a=5.727 b=5.727 c=9.691 alpha=90.00 beta=90.00 gamma=120.00
Element x y z (fractional)
K (0.667, 0.333, 0.939)
K (0.667, 0.333, 0.561)
K (0.333, 0.667, 0.439)
K (0.333, 0.667, 0.061)
Ag (0.835, 0.669, 0.250)
Ag (0.165, 0.331, 0.750)
Ag (0.835, 0.165, 0.250)
Ag (0.000, 0.000, 0.500)
Ag (0.331, 0.165, 0.250)
Ag (0.165, 0.835, 0.750)
Ag (0.669, 0.835, 0.750)
Ag (0.000, 0.000, 0.000)

6.
The following is a PBEsol calculation of K2Ag after structural relaxation, from Alexandria.

Formation energy: 13.6 kJ per mole of atoms
VASP energy: -10.31 eV for the cell shown

Unit cell a=5.746 b=5.778 c=8.216 alpha=110.59 beta=90.00 gamma=90.00
Element x y z (fractional)
Ag (0.750, 0.770, 0.000)
Ag (0.250, 0.230, 0.000)
K (0.750, 0.132, 0.749)
K (0.250, 0.617, 0.749)
K (0.750, 0.383, 0.251)
K (0.250, 0.868, 0.251)